# Ir2PtRh

An optimized crystal structure of Ir2PtRh (GGA-PBEsol, Alexandria via LeMat-Bulk).

Results
* SG: R-3m, No. 166
* energy relative to the elements: 0.03 eV per atom
* distance to the lowest polymorph of the same formula: 14 kJ/mol of formula units
* ρ: 20.0 g cm⁻³

Cell: 2.7186 2.7186 8.9706 Å, 81.28 81.28 60.00°
Element x y z (fractional)
Ir 0.2519 0.2519 0.2442
Ir 0.7481 0.7481 0.7558
Rh 0.0000 0.0000 0.0000
Pt 0.5000 0.5000 0.5000

---

# Ir2PtRh

An optimized crystal structure of Ir2PtRh (GGA-PBEsol, Alexandria via LeMat-Bulk).

Results
* SG: I4/mmm, No. 139
* energy relative to the elements: 0.04 eV per atom
* distance to the lowest polymorph of the same formula: 18 kJ/mol of formula units
* ρ: 20.1 g cm⁻³

Cell: 3.8315 3.8315 4.7043 Å, 114.03 114.03 90.00°
Element x y z (fractional)
Ir 0.7500 0.2500 0.5000
Ir 0.2500 0.7500 0.5000
Rh 0.0000 0.0000 0.0000
Pt 0.5000 0.5000 0.0000

---

# IrPt2Rh

An optimized crystal structure of IrPt2Rh (GGA-PBEsol, Alexandria via LeMat-Bulk).

Results
* SG: Cmmm, No. 65
* energy relative to the elements: 0.04 eV per atom
* distance to the lowest polymorph of the same formula: 19 kJ/mol of formula units
* ρ: 19.8 g cm⁻³

Cell: 2.7346 4.7118 4.7118 Å, 109.06 90.00 90.00°
Element x y z (fractional)
Ir 0.5000 0.5000 0.5000
Rh 0.5000 0.0000 0.0000
Pt 0.0000 0.5000 0.0000
Pt 0.0000 0.0000 0.5000

---

Question: The lowest distance to the lowest polymorph of the same formula belongs to which entry?
Answer: number 1

---

Question: ρ of number 1 (Ir2PtRh)?
Answer: 20.0 g cm⁻³

---

Question: ρ of number 2 (Ir2PtRh)?
Answer: 20.1 g cm⁻³

---

Question: Which value of energy relative to the elements does entry 2 give?
Answer: 0.04 eV per atom